# InIr2Pt, relaxed, DFT GGA-PBE
# DFT total energy   -52.93 eV for the cell shown
# Formation energy from the elements   9 meV per atom
# Magnetization   0.0 μB per formula unit
# Fermi-level density of states   3.42 states/eV/f.u.
data_InIr2Pt
_chemical_formula_sum 'In2 Ir4 Pt2'
_cell_length_a 9.245
_cell_length_b 2.901
_cell_length_c 4.911
_cell_angle_alpha 90.00
_cell_angle_beta 100.97
_cell_angle_gamma 90.00
_space_group_name_H-M_alt 'C 1 m 1'
_space_group_IT_number 8
loop_
_space_group_symop_operation_xyz
'x,y,z'
'x,-y,z'
'x+1/2,y+1/2,z'
'x+1/2,-y+1/2,z'
loop_
_atom_site_label
_atom_site_type_symbol
_atom_site_fract_x
_atom_site_fract_y
_atom_site_fract_z
_atom_site_occupancy
In1 In 0.000 0.000 0.000 1
Ir1 Ir 0.006 0.500 0.510 1
Ir2 Ir 0.249 0.000 0.710 1
Pt1 Pt 0.253 0.500 0.239 1

# Sr2CuGePd6, relaxed, DFT GGA-PBE
# DFT total energy   -95.89 eV for the cell shown
# Formation energy from the elements   -471 meV per atom
# Magnetization   0.0 μB per formula unit
# Fermi-level density of states   3.58 states/eV/f.u.
data_Sr2CuGePd6
_chemical_formula_sum 'Sr4 Cu2 Ge2 Pd12'
_cell_length_a 12.074
_cell_length_b 5.606
_cell_length_c 8.347
_cell_angle_alpha 90.00
_cell_angle_beta 131.99
_cell_angle_gamma 90.00
_space_group_name_H-M_alt 'C 1 2/m 1'
_space_group_IT_number 12
loop_
_space_group_symop_operation_xyz
'x,y,z'
'-x,-y,-z'
'-x,y,-z'
'x,-y,z'
'x+1/2,y+1/2,z'
'-x+1/2,-y+1/2,-z'
'-x+1/2,y+1/2,-z'
'x+1/2,-y+1/2,z'
loop_
_atom_site_label
_atom_site_type_symbol
_atom_site_fract_x
_atom_site_fract_y
_atom_site_fract_z
_atom_site_occupancy
Sr1 Sr 0.239 0.000 0.205 1
Cu1 Cu 0.000 0.500 0.000 1
Ge1 Ge 0.000 0.000 0.500 1
Pd1 Pd 0.004 0.254 0.262 1
Pd2 Pd 0.249 0.500 0.395 1

# AgGeF3, relaxed, DFT GGA-PBE
# DFT total energy   -17.44 eV for the cell shown
# ΔE to the lowest computed polymorph   0.610 eV/atom
# Uncorrected formation energy   -0.871 eV/atom
# Magnetization   0.0 μB per formula unit
# Fermi-level density of states   5.16 states/eV/f.u.
data_AgGeF3
_chemical_formula_sum 'Ag1 Ge1 F3'
_cell_length_a 4.398
_cell_length_b 4.398
_cell_length_c 4.398
_cell_angle_alpha 90.00
_cell_angle_beta 90.00
_cell_angle_gamma 90.00
_space_group_name_H-M_alt 'P m -3 m'
_space_group_IT_number 221
_space_group_name_Hall '-P 4 2 3'
loop_
_atom_site_label
_atom_site_type_symbol
_atom_site_fract_x
_atom_site_fract_y
_atom_site_fract_z
_atom_site_occupancy
Ag1 Ag 0.000 0.000 0.000 1
Ge1 Ge 0.500 0.500 0.500 1
F1 F 0.000 0.000 0.500 1

# Tb3As2O2, relaxed, DFT GGA-PBE
# DFT total energy   -97.67 eV for the cell shown
# Uncorrected formation energy   -2.247 eV/atom
# Magnetization   0.0 μB per formula unit
# Fermi-level density of states   2.21 states/eV/f.u.
data_Tb3As2O2
_chemical_formula_sum 'Tb6 As4 O4'
_cell_length_a 12.069
_cell_length_b 3.926
_cell_length_c 6.874
_cell_angle_alpha 90.00
_cell_angle_beta 111.47
_cell_angle_gamma 90.00
_space_group_name_H-M_alt 'C 1 2/m 1'
_space_group_IT_number 12
loop_
_space_group_symop_operation_xyz
'x,y,z'
'-x,-y,-z'
'-x,y,-z'
'x,-y,z'
'x+1/2,y+1/2,z'
'-x+1/2,-y+1/2,-z'
'-x+1/2,y+1/2,-z'
'x+1/2,-y+1/2,z'
loop_
_atom_site_label
_atom_site_type_symbol
_atom_site_fract_x
_atom_site_fract_y
_atom_site_fract_z
_atom_site_occupancy
Tb1 Tb 0.000 0.000 0.000 1
Tb2 Tb 0.186 0.500 0.770 1
As1 As 0.119 0.500 0.312 1
O1 O 0.161 0.000 0.904 1

Q: What is the DFT total energy in the first record?
A: -52.93 eV for the cell shown

What did the fourth record say?
# Tb3As2O2, relaxed, DFT GGA-PBE
# DFT total energy   -97.67 eV for the cell shown
# Uncorrected formation energy   -2.247 eV/atom
# Magnetization   0.0 μB per formula unit
# Fermi-level density of states   2.21 states/eV/f.u.
data_Tb3As2O2
_chemical_formula_sum 'Tb6 As4 O4'
_cell_length_a 12.069
_cell_length_b 3.926
_cell_length_c 6.874
_cell_angle_alpha 90.00
_cell_angle_beta 111.47
_cell_angle_gamma 90.00
_space_group_name_H-M_alt 'C 1 2/m 1'
_space_group_IT_number 12
loop_
_space_group_symop_operation_xyz
'x,y,z'
'-x,-y,-z'
'-x,y,-z'
'x,-y,z'
'x+1/2,y+1/2,z'
'-x+1/2,-y+1/2,-z'
'-x+1/2,y+1/2,-z'
'x+1/2,-y+1/2,z'
loop_
_atom_site_label
_atom_site_type_symbol
_atom_site_fract_x
_atom_site_fract_y
_atom_site_fract_z
_atom_site_occupancy
Tb1 Tb 0.000 0.000 0.000 1
Tb2 Tb 0.186 0.500 0.770 1
As1 As 0.119 0.500 0.312 1
O1 O 0.161 0.000 0.904 1